1.
CaCo2W (PBE-GGA, optimized geometry); crystal system = orthorhombic; DFT total energy = -7.100 eV/atom; size of the total moment = 0.00 μB/f.u.; calculated formation energy = 0.768 eV/f.u.; offset from the most stable computed form = 0.000 eV/atom
1.0
3.0399 0.0000 0.0000
0.0000 3.0522 0.0000
0.0000 0.0000 7.0228
Ca Co W
1 2 1
direct
0.0000 0.0000 0.0000 Ca
0.5000 0.5000 0.3157 Co
0.5000 0.5000 0.6843 Co
0.0000 0.0000 0.5000 W

2.
Sr11Pb9Au4 (PBE-GGA, optimized geometry); crystal system = orthorhombic; DFT total energy = -3.294 eV/atom; size of the total moment = 0.00 μB/f.u.; calculated formation energy = -14.064 eV/f.u.
1.0
7.8299 -11.8579 0.0000
7.8299 11.8579 0.0000
0.0000 0.0000 4.1934
Sr Pb Au
11 9 4
direct
0.0000 0.0000 0.0000 Sr
0.0750 0.4140 0.0000 Sr
0.1614 0.8386 0.0000 Sr
0.3030 0.3030 0.0000 Sr
0.3677 0.6323 0.0000 Sr
0.4140 0.0750 0.0000 Sr
0.5860 0.9250 0.0000 Sr
0.6323 0.3677 0.0000 Sr
0.6970 0.6970 0.0000 Sr
0.8386 0.1614 0.0000 Sr
0.9250 0.5860 0.0000 Sr
0.0734 0.2134 0.5000 Pb
0.1564 0.6347 0.5000 Pb
0.2134 0.0734 0.5000 Pb
0.3653 0.8436 0.5000 Pb
0.5000 0.5000 0.5000 Pb
0.6347 0.1564 0.5000 Pb
0.7866 0.9266 0.5000 Pb
0.8436 0.3653 0.5000 Pb
0.9266 0.7866 0.5000 Pb
0.2531 0.4503 0.5000 Au
0.4503 0.2531 0.5000 Au
0.5497 0.7469 0.5000 Au
0.7469 0.5497 0.5000 Au

3.
MgTaS (PBE-GGA, optimized geometry); crystal system = trigonal; DFT total energy = -6.390 eV/atom; size of the total moment = 0.00 μB/f.u.
1.0
1.6233 0.9372 11.8181
-1.6233 0.9372 11.8181
0.0000 -1.8744 11.8181
Mg Ta S
2 2 2
direct
0.1331 0.1331 0.1331 Mg
0.8669 0.8669 0.8669 Mg
0.2995 0.2995 0.2995 Ta
0.7005 0.7005 0.7005 Ta
0.4134 0.4134 0.4134 S
0.5866 0.5866 0.5866 S

4.
Mg7Ga2Cu2 (PBE-GGA, optimized geometry); crystal system = monoclinic; DFT total energy = -2.386 eV/atom; size of the total moment = 0.00 μB/f.u.; calculated formation energy = -0.840 eV/f.u.
1.0
3.5349 -4.1934 0.0000
3.5349 4.1934 0.0000
-2.6265 0.0000 7.0679
Mg Ga Cu
7 2 2
direct
0.0000 0.0000 0.0000 Mg
0.0927 0.4711 0.8163 Mg
0.1691 0.1691 0.4384 Mg
0.4711 0.0927 0.8163 Mg
0.5289 0.9073 0.1837 Mg
0.8309 0.8309 0.5616 Mg
0.9073 0.5289 0.1837 Mg
0.4068 0.4068 0.2123 Ga
0.5932 0.5932 0.7877 Ga
0.2972 0.7028 0.5000 Cu
0.7028 0.2972 0.5000 Cu

Density in Mg/m³, matching the order above: 8.71; 7.71; 7.31; 3.46
DOS at the Fermi energy in states/eV/f.u., matching the order above: 2.92; 14.13; 1.23; 3.90